# 1
The following is a PBE calculation of a geometry-optimized HoEr2Sc structure, from the Alexandria database.

**Offset from the most stable computed form**: 15 meV/atom
**Formation enthalpy at 0 K**: 0.0408 eV/atom
**Total magnetic moment**: 0.000 Bohr magnetons per cell

```
data_HoEr2Sc
_chemical_formula_sum 'Ho1 Er2 Sc1'
_cell_length_a 3.465
_cell_length_b 3.465
_cell_length_c 9.677
_cell_angle_alpha 90.00
_cell_angle_beta 90.00
_cell_angle_gamma 90.00
_symmetry_space_group_name_H-M 'P 4/m m m'
_symmetry_Int_Tables_number 123
_symmetry_space_group_name_Hall '-P 4 2'
loop_
_atom_site_label
_atom_site_type_symbol
_atom_site_fract_x
_atom_site_fract_y
_atom_site_fract_z
Ho1 Ho 0.000 0.000 0.000
Er1 Er 0.500 0.500 0.260
Sc1 Sc 0.000 0.000 0.500
```

# 2
The following is a PBE calculation of a geometry-optimized HgMoIr structure, from the Alexandria database.

**Offset from the most stable computed form**: 278 meV/atom
**Formation enthalpy at 0 K**: 0.4248 eV/atom
**Total magnetic moment**: 0.000 Bohr magnetons per cell

```
data_HgMoIr
_chemical_formula_sum 'Hg4 Mo4 Ir4'
_cell_length_a 2.974
_cell_length_b 4.769
_cell_length_c 14.637
_cell_angle_alpha 90.00
_cell_angle_beta 90.00
_cell_angle_gamma 90.00
_symmetry_space_group_name_H-M 'F m m 2'
_symmetry_Int_Tables_number 42
_symmetry_space_group_name_Hall 'F 2 -2'
loop_
_atom_site_label
_atom_site_type_symbol
_atom_site_fract_x
_atom_site_fract_y
_atom_site_fract_z
Hg1 Hg 0.000 0.000 0.000
Mo1 Mo 0.000 0.000 0.677
Ir1 Ir 0.000 0.000 0.323
```

# 3
The following is a PBE calculation of a geometry-optimized CsK2Rb2 structure, from the Alexandria database.

**Offset from the most stable computed form**: 2 meV/atom
**Formation enthalpy at 0 K**: 0.0162 eV/atom
**Total magnetic moment**: 0.000 Bohr magnetons per cell

```
data_CsK2Rb2
_chemical_formula_sum 'Cs2 K4 Rb4'
_cell_length_a 13.146
_cell_length_b 13.146
_cell_length_c 5.152
_cell_angle_alpha 90.00
_cell_angle_beta 90.00
_cell_angle_gamma 90.00
_symmetry_space_group_name_H-M 'P 4/m b m'
_symmetry_Int_Tables_number 127
_symmetry_space_group_name_Hall '-P 4 2ab'
loop_
_atom_site_label
_atom_site_type_symbol
_atom_site_fract_x
_atom_site_fract_y
_atom_site_fract_z
Cs1 Cs 0.000 0.000 0.000
K1 K 0.125 0.375 0.000
Rb1 Rb 0.171 0.671 0.500
```

# 4
The following is a PBE calculation of a geometry-optimized BaAc2HgS5 structure, from the Alexandria database.

**E_form (uncorrected)**: -1443.9 kJ/mol of formula units
**Total magnetic moment**: 0.000 Bohr magnetons per cell

```
data_BaAc2HgS5
_chemical_formula_sum 'Ba4 Ac8 Hg4 S20'
_cell_length_a 8.274
_cell_length_b 8.274
_cell_length_c 14.581
_cell_angle_alpha 90.00
_cell_angle_beta 90.00
_cell_angle_gamma 90.00
_symmetry_space_group_name_H-M 'I 4/m c m'
_symmetry_Int_Tables_number 140
_symmetry_space_group_name_Hall '-I 4 2c'
loop_
_atom_site_label
_atom_site_type_symbol
_atom_site_fract_x
_atom_site_fract_y
_atom_site_fract_z
Ba1 Ba 0.000 0.000 0.250
Ac1 Ac 0.162 0.338 0.000
Hg1 Hg 0.000 0.500 0.250
S1 S 0.000 0.000 0.000
S2 S 0.155 0.345 0.369
```

# 5
The following is a PBE calculation of a geometry-optimized ZrAlAg structure, from the Alexandria database.

**Formation enthalpy at 0 K**: -0.0528 eV/atom
**Total magnetic moment**: 0.000 Bohr magnetons per cell

```
data_ZrAlAg
_chemical_formula_sum 'Zr1 Al1 Ag1'
_cell_length_a 3.0011
_cell_length_b 3.0011
_cell_length_c 7.3084
_cell_angle_alpha 90.00
_cell_angle_beta 90.00
_cell_angle_gamma 120.00
_symmetry_space_group_name_H-M 'P 3 m 1'
_symmetry_Int_Tables_number 156
_symmetry_space_group_name_Hall 'P 3 -2"'
loop_
_atom_site_label
_atom_site_type_symbol
_atom_site_fract_x
_atom_site_fract_y
_atom_site_fract_z
Zr1 Zr 0.0000 0.0000 0.0000
Al1 Al 0.6667 0.3333 0.6623
Ag1 Ag 0.3333 0.6667 0.3559
```

# 6
The following is a PBE calculation of a geometry-optimized AcGdYAl structure, from the Alexandria database.

**Formation enthalpy at 0 K**: -0.0013 eV/atom
**Total magnetic moment**: 33.139 Bohr magnetons per cell

```
data_AcGdYAl
_chemical_formula_sum 'Ac4 Gd4 Y4 Al4'
_cell_length_a 7.883
_cell_length_b 7.883
_cell_length_c 7.883
_cell_angle_alpha 90.00
_cell_angle_beta 90.00
_cell_angle_gamma 90.00
_symmetry_space_group_name_H-M 'F -4 3 m'
_symmetry_Int_Tables_number 216
_symmetry_space_group_name_Hall 'F -4 2 3'
loop_
_atom_site_label
_atom_site_type_symbol
_atom_site_fract_x
_atom_site_fract_y
_atom_site_fract_z
Ac1 Ac 0.000 0.000 0.000
Gd1 Gd 0.000 0.000 0.500
Y1 Y 0.250 0.250 0.250
Al1 Al 0.250 0.250 0.750
```